# YTaFe2 | Alexandria via LeMat-Bulk | PBE-GGA | relaxed
data_YTaFe2
_symmetry_space_group_name_H-M 'P 1'
_symmetry_Int_Tables_number 1
_symmetry_space_group_name_Hall 'P 1'
_cell_length_a 4.5308
_cell_length_b 4.5308
_cell_length_c 4.5308
_cell_angle_alpha 60.00
_cell_angle_beta 60.00
_cell_angle_gamma 60.00
loop_
_atom_site_label
_atom_site_type_symbol
_atom_site_fract_x
_atom_site_fract_y
_atom_site_fract_z
_atom_site_occupancy
Y1 Y 0.0000 0.0000 0.0000 1
Ta1 Ta 0.7500 0.7500 0.7500 1
Fe1 Fe 0.2500 0.2500 0.2500 1
Fe2 Fe 0.5000 0.5000 0.5000 1
# Calculated formation energy in eV/atom: 0.44
# DOS(E_F) in states/eV/atom: 1.102